Record 1
The following is a PBE calculation of a geometry-optimized P2W structure, from Alexandria.

a b c (Å): 4.1236 4.1236 2.8480
angles (deg): 90.00 90.00 120.00
Closest atoms and distances in Å follow each position.
Positions (direct):
P 0.3333 0.6667 0.0000  3 P 2.38
P 0.6667 0.3333 0.0000  3 P 2.38
W 0.0000 0.0000 0.5000  12 P 2.77, 2 W 2.85

density of states at the Fermi level = 1.73 states/eV/cell
VASP energy = -21.670 eV per cell
SG = P6/mmm, No. 191
energy of formation = 0.701 eV per atom



Record 2
The following is a PBE calculation of a geometry-optimized P2W structure, from Alexandria.

a b c (Å): 5.8307 5.8307 4.9975
angles (deg): 90.00 90.00 148.22
Closest atoms and distances in Å follow each position.
Positions (direct):
P 0.0699 0.9301 0.5000  1 P 2.17
P 0.2019 0.7981 0.8168  1 P 2.17
P 0.7981 0.2019 0.3168  1 P 2.17
P 0.9301 0.0699 0.0000  1 P 2.17
W 0.4070 0.5930 0.6169  7 P 2.50-2.51
W 0.5930 0.4070 0.1169  7 P 2.50-2.51

density of states at the Fermi level = 1.07 states/eV/cell
VASP energy = -49.823 eV per cell
SG = Cmc2_1, No. 36
energy of formation = -0.379 eV per atom



Record 3
The following is a PBE calculation of a geometry-optimized P2W structure, from Alexandria.

a b c (Å): 4.9636 4.4799 7.5729
angles (deg): 90.00 90.00 90.00
Closest atoms and distances in Å follow each position.
Positions (direct):
P 0.1875 0.2500 0.0469  3 P 2.42-2.66, 5 W 2.48-2.66
P 0.2271 0.2500 0.7287  5 P 2.42-2.66, 3 W 2.52-2.62
P 0.2729 0.7500 0.2287  5 P 2.42-2.66, 3 W 2.52-2.62
P 0.3125 0.7500 0.5469  3 P 2.42-2.66, 5 W 2.48-2.66
P 0.6875 0.2500 0.4531  3 P 2.42-2.66, 5 W 2.48-2.66
P 0.7271 0.2500 0.7713  5 P 2.42-2.66, 3 W 2.52-2.62
P 0.7729 0.7500 0.2713  5 P 2.42-2.66, 3 W 2.52-2.62
P 0.8125 0.7500 0.9531  3 P 2.42-2.66, 5 W 2.48-2.66
W 0.1790 0.2500 0.3975  8 P 2.48-2.66
W 0.3210 0.7500 0.8975  8 P 2.48-2.66
W 0.6790 0.2500 0.1025  8 P 2.48-2.66
W 0.8210 0.7500 0.6025  8 P 2.48-2.66

density of states at the Fermi level = 5.94 states/eV/cell
VASP energy = -94.711 eV per cell
SG = Pnma, No. 62
energy of formation = 0.032 eV per atom



Record 4
The following is a PBE calculation of a geometry-optimized PW5 structure, from Alexandria.

a b c (Å): 3.1658 3.1658 9.2482
angles (deg): 90.00 90.00 90.00
Closest atoms and distances in Å follow each position.
Positions (direct):
P 0.0000 0.0000 0.0000  8 W 2.66
W 0.0000 0.0000 0.3303  8 W 2.73-2.76, 1 P 3.05
W 0.0000 0.0000 0.6697  8 W 2.73-2.76, 1 P 3.05
W 0.5000 0.5000 0.1550  4 P 2.66, 5 W 2.76-2.87
W 0.5000 0.5000 0.5000  8 W 2.73
W 0.5000 0.5000 0.8450  4 P 2.66, 5 W 2.76-2.87

density of states at the Fermi level = 3.36 states/eV/cell
VASP energy = -69.500 eV per cell
SG = P4/mmm, No. 123
energy of formation = 0.113 eV per atom



Record 5
The following is a PBE calculation of a geometry-optimized P4W structure, from Alexandria.

a b c (Å): 4.9112 4.9112 4.9112
angles (deg): 109.47 109.47 109.47
Closest atoms and distances in Å follow each position.
Positions (direct):
P 0.0000 0.0000 0.5000  2 W 2.46
P 0.0000 0.5000 0.0000  2 W 2.46
P 0.5000 0.0000 0.0000  2 W 2.46
P 0.5000 0.5000 0.5000  2 W 2.46
W 0.0000 0.0000 0.0000  8 P 2.46

density of states at the Fermi level = 3.55 states/eV/cell
VASP energy = -31.652 eV per cell
SG = Im-3m, No. 229
energy of formation = 0.588 eV per atom



Record 6
The following is a PBE calculation of a geometry-optimized P2W structure, from Alexandria.

a b c (Å): 6.0928 6.0928 4.6783
angles (deg): 90.00 90.00 150.00
Closest atoms and distances in Å follow each position.
Positions (direct):
P 0.0305 0.9695 0.7500  4 P 2.45-2.50, 2 W 2.54
P 0.3652 0.6348 0.7500  4 W 2.46-2.51, 2 P 2.50
P 0.6348 0.3652 0.2500  4 W 2.46-2.51, 2 P 2.50
P 0.9695 0.0305 0.2500  4 P 2.45-2.50, 2 W 2.54
W 0.3003 0.6997 0.2500  6 P 2.46-2.54
W 0.6997 0.3003 0.7500  6 P 2.46-2.54

density of states at the Fermi level = 3.20 states/eV/cell
VASP energy = -48.492 eV per cell
SG = Cmcm, No. 63
energy of formation = -0.158 eV per atom



Record 7
The following is a PBE calculation of a geometry-optimized P4W structure, from Alexandria.

a b c (Å): 4.6903 4.6903 4.6903
angles (deg): 90.00 90.00 90.00
Closest atoms and distances in Å follow each position.
Positions (direct):
P 0.0000 0.0000 0.0000  12 P 3.32
P 0.0000 0.5000 0.5000  2 W 2.35
P 0.5000 0.0000 0.5000  2 W 2.35
P 0.5000 0.5000 0.0000  2 W 2.35
W 0.5000 0.5000 0.5000  6 P 2.35

density of states at the Fermi level = 3.83 states/eV/cell
VASP energy = -29.994 eV per cell
SG = Pm-3m, No. 221
energy of formation = 0.920 eV per atom



Record 8
The following is a PBE calculation of a geometry-optimized P2W structure, from Alexandria.

a b c (Å): 4.6506 4.6506 6.4854
angles (deg): 95.58 95.58 40.52
Closest atoms and distances in Å follow each position.
Positions (direct):
P 0.0000 0.0000 0.0000  1 P 2.11
P 0.0744 0.0744 0.5867  5 W 2.50-2.69
P 0.3385 0.3385 0.3337  4 W 2.44-2.56
P 0.7569 0.7569 0.9581  1 P 2.11
W 0.3551 0.3551 0.7120  8 P 2.44-2.69
W 0.6272 0.6272 0.2948  8 P 2.44-2.65

density of states at the Fermi level = 1.36 states/eV/cell
VASP energy = -47.299 eV per cell
SG = Cm, No. 8
energy of formation = 0.041 eV per atom